VASP calculation (GGA+U) on a relaxed structure of Ba2Co3F10.

The structure in POSCAR format:
```
Ba2Co3F10
1.0
5.8125 0.0000 -1.8917
-0.9435 7.4127 -2.8989
0.0240 0.1026 9.9491
Ba Co F
4 6 20
direct
0.7174 0.3155 0.4349
0.2826 0.6845 0.5651
0.6144 0.7201 0.2287
0.3856 0.2799 0.7713
0.9254 0.5419 0.8507
0.0746 0.4581 0.1493
0.8220 0.9816 0.6439
0.1780 0.0184 0.3561
0.7453 0.0000 0.0000
0.2547 0.0000 0.0000
0.6264 0.9720 0.7758
0.1494 0.9720 0.7758
0.3736 0.0280 0.2242
0.8506 0.0280 0.2242
0.6092 0.5206 0.6963
0.0872 0.5206 0.6963
0.3908 0.4794 0.3037
0.9128 0.4794 0.3037
0.9793 0.8166 0.9587
0.0207 0.1834 0.0413
0.8659 0.2555 0.7317
0.1341 0.7445 0.2683
0.7630 0.7186 0.5260
0.2370 0.2814 0.4740
0.4845 0.8166 0.9689
0.5155 0.1834 0.0311
0.7728 0.5000 0.0000
0.2272 0.5000 0.0000
0.5000 0.0000 0.5000
0.0000 0.0000 0.5000
```

## Properties
The calculation puts the energy at -160.451 eV/cell.